The following is a DFT calculation (PBE) of crystalline Nd2InPtO6 at its relaxed geometry.

Geometry as POSCAR:
```
Nd2InPtO6
1.0
5.604 0.000 -0.087
0.000 6.230 0.000
-0.078 0.000 7.892
O In Pt Nd
12 2 2 4
Direct
0.309 0.672 0.436
0.691 0.318 0.945
0.632 0.052 0.261
0.691 0.328 0.564
0.809 0.818 0.555
0.309 0.682 0.055
0.868 0.552 0.239
0.191 0.172 0.064
0.809 0.828 0.936
0.191 0.182 0.445
0.368 0.948 0.739
0.132 0.448 0.761
0.000 0.500 0.500
0.500 0.000 0.000
0.500 0.000 0.500
0.000 0.500 0.000
0.974 0.083 0.748
0.474 0.417 0.248
0.026 0.917 0.252
0.526 0.583 0.752
```

Computed properties:
As for the symmetry: P2_1/c. The raw formation energy is -2101 meV per atom. The calculated density is 8370 kg/m³. For the density of states at the Fermi level, the calculation gives 0.017 states/eV per atom. Its total energy is -138.14 eV/cell.